Computed, not measured: an optimized crystal structure of MnCdCuC2 at the PBE level of DFT.

Properties
For the calculated volume, the calculation gives 14.180 Å³ per atom. The calculation puts the final energy at -23.07 eV/cell. The value obtained for the formation energy is 1.9108 eV per atom. Its symmetry is P4/mmm.

abc: 3.8478 4.7887 3.8478
angles: 90.00 90.00 90.00
Site moments in Bohr magnetons follow the coordinates.
Element x y z (fractional)
C1 0.0000 0.0000 0.5000  -0.05
C2 0.5000 0.0000 0.0000  -0.09
Mn1 0.0000 0.5000 0.0000  3.71
Cu1 0.0000 0.0000 0.0000  0.01
Cd1 0.5000 0.5000 0.5000  -0.02

---

Computed, not measured: an optimized crystal structure of CdCu2NiC at the PBE level of DFT.

Properties
For the calculated volume, the calculation gives 13.107 Å³ per atom. The calculation puts the final energy at -20.84 eV/cell. The value obtained for the formation energy is 0.6542 eV per atom. Its symmetry is P4/mmm.

abc: 3.8432 4.4372 3.8432
angles: 90.00 90.00 90.00
Element x y z (fractional)
Ni1 0.5000 0.5000 0.5000
C1 0.0000 0.0000 0.0000
Cu1 0.0000 0.0000 0.5000
Cu2 0.5000 0.0000 0.0000
Cd1 0.0000 0.5000 0.0000

---

Computed, not measured: an optimized crystal structure of CdCuC2O6 at the PBE level of DFT.

Properties
For the calculated volume, the calculation gives 10.780 Å³ per atom. The calculation puts the final energy at -64.60 eV/cell. Its symmetry is R-3. The raw formation energy is -1100 kJ/mol of formula units.

abc: 4.8466 4.8466 5.9925
angles: 66.15 66.15 60.00
Site moments in Bohr magnetons follow the coordinates.
Element x y z (fractional)
Cd1 0.0000 0.0000 0.0000  0.00
Cu1 0.5000 0.5000 0.5000  0.61
C1 0.7556 0.7556 0.7331  0.00
C2 0.2444 0.2444 0.2669  0.00
O1 0.0326 0.4983 0.7351  0.06
O2 0.7340 0.0326 0.7351  0.06
O3 0.5017 0.2660 0.2649  0.06
O4 0.9674 0.5017 0.2649  0.06
O5 0.2660 0.9674 0.2649  0.06
O6 0.4983 0.7340 0.7351  0.06